Entry 1:
A plane-wave DFT calculation with PBE-GGA was carried out for a geometry-optimized YReOs2 structure.

The structure in CIF format:
```
data_YReOs2
_space_group_name_H-M_alt 'P 1'
_space_group_IT_number 1
_cell_length_a 4.566
_cell_length_b 4.566
_cell_length_c 4.566
_cell_angle_alpha 60.00
_cell_angle_beta 60.00
_cell_angle_gamma 60.00
loop_
_space_group_symop_operation_xyz
'x,y,z'
loop_
_atom_site_label
_atom_site_type_symbol
_atom_site_fract_x
_atom_site_fract_y
_atom_site_fract_z
_atom_site_occupancy
Re1 Re 0.500 0.500 0.500 1
Y1 Y 0.250 0.250 0.250 1
Os1 Os 0.750 0.750 0.750 1
Os2 Os 0.000 0.000 0.000 1
```

Properties
formation enthalpy at 0 K: 558 meV/atom
symmetry: F-43m (216)



Entry 2:
A plane-wave DFT calculation with PBE-GGA was carried out for a geometry-optimized YReOs2 structure.

The structure in CIF format:
```
data_YReOs2
_space_group_name_H-M_alt 'P 1'
_space_group_IT_number 1
_cell_length_a 5.295
_cell_length_b 5.295
_cell_length_c 4.890
_cell_angle_alpha 74.15
_cell_angle_beta 74.15
_cell_angle_gamma 32.14
loop_
_space_group_symop_operation_xyz
'x,y,z'
loop_
_atom_site_label
_atom_site_type_symbol
_atom_site_fract_x
_atom_site_fract_y
_atom_site_fract_z
_atom_site_occupancy
Os1 Os 0.025 0.025 0.946 1
Re1 Re 0.473 0.473 0.545 1
Os2 Os 0.751 0.751 0.757 1
Y1 Y 0.251 0.251 0.252 1
```

Properties
formation enthalpy at 0 K: 300 meV/atom
symmetry: Cm (8)



Entry 3:
A plane-wave DFT calculation with PBE-GGA was carried out for a geometry-optimized YReOs2 structure.

The structure in CIF format:
```
data_YReOs2
_space_group_name_H-M_alt 'P 1'
_space_group_IT_number 1
_cell_length_a 2.888
_cell_length_b 3.635
_cell_length_c 6.786
_cell_angle_alpha 90.00
_cell_angle_beta 90.00
_cell_angle_gamma 90.00
loop_
_space_group_symop_operation_xyz
'x,y,z'
loop_
_atom_site_label
_atom_site_type_symbol
_atom_site_fract_x
_atom_site_fract_y
_atom_site_fract_z
_atom_site_occupancy
Y1 Y 0.500 0.500 0.750 1
Os1 Os 0.000 0.000 0.447 1
Os2 Os 0.000 0.000 0.053 1
Re1 Re 0.500 0.500 0.250 1
```

Properties
formation enthalpy at 0 K: 245 meV/atom
symmetry: Pmmm (47)



Entry 4:
A plane-wave DFT calculation with PBE-GGA was carried out for a geometry-optimized YRe2Os structure.

The structure in CIF format:
```
data_YRe2Os
_space_group_name_H-M_alt 'P 1'
_space_group_IT_number 1
_cell_length_a 3.083
_cell_length_b 3.083
_cell_length_c 7.473
_cell_angle_alpha 90.00
_cell_angle_beta 90.00
_cell_angle_gamma 90.00
loop_
_space_group_symop_operation_xyz
'x,y,z'
loop_
_atom_site_label
_atom_site_type_symbol
_atom_site_fract_x
_atom_site_fract_y
_atom_site_fract_z
_atom_site_occupancy
Re1 Re 0.500 0.500 0.202 1
Y1 Y 0.000 0.000 0.503 1
Re2 Re 0.000 0.000 0.006 1
Os1 Os 0.500 0.500 0.789 1
```

Properties
formation enthalpy at 0 K: 232 meV/atom
symmetry: P4mm (99)



Entry 5:
A plane-wave DFT calculation with PBE-GGA was carried out for a geometry-optimized YRe2Os2 structure.

The structure in CIF format:
```
data_YRe2Os2
_space_group_name_H-M_alt 'P 1'
_space_group_IT_number 1
_cell_length_a 7.807
_cell_length_b 7.807
_cell_length_c 2.786
_cell_angle_alpha 90.00
_cell_angle_beta 90.00
_cell_angle_gamma 90.00
loop_
_space_group_symop_operation_xyz
'x,y,z'
loop_
_atom_site_label
_atom_site_type_symbol
_atom_site_fract_x
_atom_site_fract_y
_atom_site_fract_z
_atom_site_occupancy
Re1 Re 0.619 0.119 0.000 1
Y1 Y 0.000 0.000 0.000 1
Re2 Re 0.119 0.381 0.000 1
Os1 Os 0.670 0.830 0.500 1
Os2 Os 0.330 0.170 0.500 1
Os3 Os 0.830 0.330 0.500 1
Y2 Y 0.500 0.500 0.000 1
Os4 Os 0.170 0.670 0.500 1
Re3 Re 0.881 0.619 0.000 1
Re4 Re 0.381 0.881 0.000 1
```

Properties
formation enthalpy at 0 K: 84 meV/atom
symmetry: P4/mbm (127)



Entry 6:
A plane-wave DFT calculation with PBE-GGA was carried out for a geometry-optimized Y2ReOs structure.

The structure in CIF format:
```
data_Y2ReOs
_space_group_name_H-M_alt 'P 1'
_space_group_IT_number 1
_cell_length_a 4.141
_cell_length_b 4.483
_cell_length_c 5.628
_cell_angle_alpha 66.46
_cell_angle_beta 90.00
_cell_angle_gamma 90.00
loop_
_space_group_symop_operation_xyz
'x,y,z'
loop_
_atom_site_label
_atom_site_type_symbol
_atom_site_fract_x
_atom_site_fract_y
_atom_site_fract_z
_atom_site_occupancy
Re1 Re 0.500 0.568 0.739 1
Y1 Y 0.500 0.270 0.335 1
Os1 Os 0.000 0.683 0.509 1
Y2 Y 0.000 0.979 0.917 1
```

Properties
formation enthalpy at 0 K: -19 meV/atom
symmetry: Pm (6)



Entry 7:
A plane-wave DFT calculation with PBE-GGA was carried out for a geometry-optimized Y2ReOs structure.

The structure in CIF format:
```
data_Y2ReOs
_space_group_name_H-M_alt 'P 1'
_space_group_IT_number 1
_cell_length_a 3.394
_cell_length_b 5.039
_cell_length_c 4.587
_cell_angle_alpha 90.00
_cell_angle_beta 90.00
_cell_angle_gamma 90.00
loop_
_space_group_symop_operation_xyz
'x,y,z'
loop_
_atom_site_label
_atom_site_type_symbol
_atom_site_fract_x
_atom_site_fract_y
_atom_site_fract_z
_atom_site_occupancy
Y1 Y 0.000 0.000 0.000 1
Y2 Y 0.500 0.500 0.000 1
Os1 Os 0.500 0.000 0.500 1
Re1 Re 0.000 0.500 0.500 1
```

Properties
formation enthalpy at 0 K: 425 meV/atom
symmetry: Pmmm (47)



Entry 8:
A plane-wave DFT calculation with PBE-GGA was carried out for a geometry-optimized YReOs2 structure.

The structure in CIF format:
```
data_YReOs2
_space_group_name_H-M_alt 'P 1'
_space_group_IT_number 1
_cell_length_a 5.779
_cell_length_b 5.779
_cell_length_c 5.779
_cell_angle_alpha 150.94
_cell_angle_beta 132.03
_cell_angle_gamma 57.07
loop_
_space_group_symop_operation_xyz
'x,y,z'
loop_
_atom_site_label
_atom_site_type_symbol
_atom_site_fract_x
_atom_site_fract_y
_atom_site_fract_z
_atom_site_occupancy
Os1 Os 0.969 0.969 0.000 1
Os2 Os 0.751 0.251 0.500 1
Y1 Y 0.247 0.747 0.500 1
Re1 Re 0.532 0.532 0.000 1
```

Properties
formation enthalpy at 0 K: 323 meV/atom
symmetry: Imm2 (44)



Entry 9:
A plane-wave DFT calculation with PBE-GGA was carried out for a geometry-optimized YReOs2 structure.

The structure in CIF format:
```
data_YReOs2
_space_group_name_H-M_alt 'P 1'
_space_group_IT_number 1
_cell_length_a 2.849
_cell_length_b 3.795
_cell_length_c 6.598
_cell_angle_alpha 90.00
_cell_angle_beta 90.00
_cell_angle_gamma 90.00
loop_
_space_group_symop_operation_xyz
'x,y,z'
loop_
_atom_site_label
_atom_site_type_symbol
_atom_site_fract_x
_atom_site_fract_y
_atom_site_fract_z
_atom_site_occupancy
Os1 Os 0.000 0.000 0.049 1
Re1 Re 0.000 0.000 0.439 1
Y1 Y 0.500 0.500 0.758 1
Os2 Os 0.500 0.500 0.253 1
```

Properties
formation enthalpy at 0 K: 345 meV/atom
symmetry: Pmm2 (25)



Entry 10:
A plane-wave DFT calculation with PBE-GGA was carried out for a geometry-optimized YRe2Os structure.

The structure in CIF format:
```
data_YRe2Os
_space_group_name_H-M_alt 'P 1'
_space_group_IT_number 1
_cell_length_a 9.768
_cell_length_b 9.768
_cell_length_c 9.768
_cell_angle_alpha 16.78
_cell_angle_beta 16.78
_cell_angle_gamma 16.78
loop_
_space_group_symop_operation_xyz
'x,y,z'
loop_
_atom_site_label
_atom_site_type_symbol
_atom_site_fract_x
_atom_site_fract_y
_atom_site_fract_z
_atom_site_occupancy
Re1 Re 0.259 0.259 0.259 1
Re2 Re 0.000 0.000 0.000 1
Y1 Y 0.499 0.499 0.499 1
Os1 Os 0.742 0.742 0.742 1
```

Properties
formation enthalpy at 0 K: 458 meV/atom
symmetry: R3m (160)



Entry 11:
A plane-wave DFT calculation with PBE-GGA was carried out for a geometry-optimized Y2ReOs structure.

The structure in CIF format:
```
data_Y2ReOs
_space_group_name_H-M_alt 'P 1'
_space_group_IT_number 1
_cell_length_a 4.570
_cell_length_b 3.051
_cell_length_c 5.701
_cell_angle_alpha 81.12
_cell_angle_beta 90.00
_cell_angle_gamma 90.00
loop_
_space_group_symop_operation_xyz
'x,y,z'
loop_
_atom_site_label
_atom_site_type_symbol
_atom_site_fract_x
_atom_site_fract_y
_atom_site_fract_z
_atom_site_occupancy
Y1 Y 0.000 0.497 0.498 1
Os1 Os 0.500 0.250 0.250 1
Y2 Y 0.000 0.003 0.002 1
Re1 Re 0.500 0.750 0.750 1
```

Properties
formation enthalpy at 0 K: 425 meV/atom
symmetry: P2/m (10)



Entry 12:
A plane-wave DFT calculation with PBE-GGA was carried out for a geometry-optimized Y4ReOs structure.

The structure in CIF format:
```
data_Y4ReOs
_space_group_name_H-M_alt 'P 1'
_space_group_IT_number 1
_cell_length_a 5.797
_cell_length_b 5.797
_cell_length_c 5.797
_cell_angle_alpha 60.00
_cell_angle_beta 60.00
_cell_angle_gamma 60.00
loop_
_space_group_symop_operation_xyz
'x,y,z'
loop_
_atom_site_label
_atom_site_type_symbol
_atom_site_fract_x
_atom_site_fract_y
_atom_site_fract_z
_atom_site_occupancy
Y1 Y 0.375 0.375 0.875 1
Re1 Re 0.000 0.000 0.000 1
Y2 Y 0.875 0.375 0.375 1
Y3 Y 0.375 0.875 0.375 1
Y4 Y 0.375 0.375 0.375 1
Os1 Os 0.750 0.750 0.750 1
```

Properties
formation enthalpy at 0 K: 1235 meV/atom
symmetry: F-43m (216)



Entry 13:
A plane-wave DFT calculation with PBE-GGA was carried out for a geometry-optimized Y2Re3Os structure.

The structure in CIF format:
```
data_Y2Re3Os
_space_group_name_H-M_alt 'P 1'
_space_group_IT_number 1
_cell_length_a 5.309
_cell_length_b 5.309
_cell_length_c 5.511
_cell_angle_alpha 90.11
_cell_angle_beta 118.76
_cell_angle_gamma 119.90
loop_
_space_group_symop_operation_xyz
'x,y,z'
loop_
_atom_site_label
_atom_site_type_symbol
_atom_site_fract_x
_atom_site_fract_y
_atom_site_fract_z
_atom_site_occupancy
Re1 Re 0.500 0.000 0.500 1
Os1 Os 0.000 0.000 0.000 1
Y1 Y 0.252 0.626 0.878 1
Re2 Re 0.500 0.500 0.500 1
Y2 Y 0.748 0.374 0.122 1
Re3 Re 0.000 0.000 0.500 1
```

Properties
formation enthalpy at 0 K: -209 meV/atom
symmetry: C2/m (12)



Entry 14:
A plane-wave DFT calculation with PBE-GGA was carried out for a geometry-optimized Y2ReOs structure.

The structure in CIF format:
```
data_Y2ReOs
_space_group_name_H-M_alt 'P 1'
_space_group_IT_number 1
_cell_length_a 5.485
_cell_length_b 5.485
_cell_length_c 3.045
_cell_angle_alpha 78.67
_cell_angle_beta 78.67
_cell_angle_gamma 113.52
loop_
_space_group_symop_operation_xyz
'x,y,z'
loop_
_atom_site_label
_atom_site_type_symbol
_atom_site_fract_x
_atom_site_fract_y
_atom_site_fract_z
_atom_site_occupancy
Y1 Y 0.000 0.000 0.000 1
Os1 Os 0.500 0.000 0.500 1
Re1 Re 0.000 0.500 0.500 1
Y2 Y 0.500 0.500 0.000 1
```

Properties
formation enthalpy at 0 K: 425 meV/atom
symmetry: C2/m (12)



Entry 15:
A plane-wave DFT calculation with PBE-GGA was carried out for a geometry-optimized YReOs2 structure.

The structure in CIF format:
```
data_YReOs2
_space_group_name_H-M_alt 'P 1'
_space_group_IT_number 1
_cell_length_a 9.714
_cell_length_b 9.714
_cell_length_c 9.714
_cell_angle_alpha 16.82
_cell_angle_beta 16.82
_cell_angle_gamma 16.82
loop_
_space_group_symop_operation_xyz
'x,y,z'
loop_
_atom_site_label
_atom_site_type_symbol
_atom_site_fract_x
_atom_site_fract_y
_atom_site_fract_z
_atom_site_occupancy
Os1 Os 0.509 0.509 0.509 1
Os2 Os 0.991 0.991 0.991 1
Y1 Y 0.750 0.750 0.750 1
Re1 Re 0.250 0.250 0.250 1
```

Properties
formation enthalpy at 0 K: 434 meV/atom
symmetry: R-3m (166)